RuSeS2N PBE optimized geometry; V = 82.7 Å³/cell; space group = P4/mmm; energy relative to the elements, uncorrected = 1.5263 eV per atom; energy relative to the lowest polymorph listed for this composition = 911 meV/atom; DFT total energy = -4.342 eV per atom; calculated density = 5.18 g cm⁻³
1.0
4.828 0.000 0.000
0.000 4.828 0.000
0.000 0.000 3.547
Se S N Ru
1 2 1 1
Direct
0.000 0.000 0.000
0.500 0.000 0.000
0.000 0.500 0.000
0.000 0.000 0.500
0.500 0.500 0.500